Entry from Alexandria: an optimized crystal structure of CsCrAuF6 (GGA+U).

Lattice parameters (Å, degrees): 5.2536 6.3537 6.3812 60.19 82.45 86.49
Space group P1 (No. 1)
Asymmetric unit:
Cs (0.0000, 0.0000, 0.0000) (multiplicity 1)
Cr (0.5001, 0.6580, 0.6688) (multiplicity 1)
Au (0.4979, 0.3975, 0.2982) (multiplicity 1)
F (0.1910, 0.6149, 0.8508) (multiplicity 1)
F (0.3794, 0.3966, 0.6187) (multiplicity 1)
F (0.3964, 0.8877, 0.3787) (multiplicity 1)
F (0.6072, 0.8877, 0.7301) (multiplicity 1)
F (0.6166, 0.3962, 0.9786) (multiplicity 1)
F (0.8081, 0.6132, 0.5303) (multiplicity 1)

Final energy, eV for the cell shown: -41.8
Theoretical density, g cm⁻³: 4.5